1.
Computed, not measured: a geometry-optimized LiPd8Pt3 structure at the PBE level of DFT.

## Properties
total energy: -4.62 eV per atom
density of states at the Fermi level: 1.97 states/eV per atom

Structure (CIF):
```
data_LiPd8Pt3
_chemical_formula_sum 'Li2 Pd16 Pt6'
_cell_length_a 6.6985
_cell_length_b 6.6985
_cell_length_c 9.3816
_cell_angle_alpha 90.00
_cell_angle_beta 90.00
_cell_angle_gamma 90.00
_space_group_name_H-M_alt 'I -4 2 m'
_space_group_IT_number 121
_space_group_name_Hall 'I -4 2'
loop_
_atom_site_label
_atom_site_type_symbol
_atom_site_fract_x
_atom_site_fract_y
_atom_site_fract_z
_atom_site_occupancy
Li1 Li 0.0000 0.0000 0.0000 1
Pd1 Pd 0.1351 0.1351 0.2168 1
Pd2 Pd 0.2297 0.2297 0.9517 1
Pt1 Pt 0.0000 0.0000 0.5000 1
Pt2 Pt 0.0000 0.5000 0.2500 1
```

2.
Computed, not measured: a geometry-optimized Li2PdPt structure at the PBE level of DFT.

## Properties
total energy: -4.14 eV per atom
density of states at the Fermi level: 0.59 states/eV per atom

Structure (CIF):
```
data_Li2PdPt
_chemical_formula_sum 'Li6 Pd3 Pt3'
_cell_length_a 2.7507
_cell_length_b 2.7507
_cell_length_c 26.9971
_cell_angle_alpha 90.00
_cell_angle_beta 90.00
_cell_angle_gamma 120.00
_space_group_name_H-M_alt 'R -3 m'
_space_group_IT_number 166
_space_group_name_Hall '-R 3 2"'
loop_
_atom_site_label
_atom_site_type_symbol
_atom_site_fract_x
_atom_site_fract_y
_atom_site_fract_z
_atom_site_occupancy
Li1 Li 0.0000 0.0000 0.0897 1
Pd1 Pd 0.0000 0.0000 0.5000 1
Pt1 Pt 0.0000 0.0000 0.0000 1
```

Look up the total energy of the second one.
-4.14 eV per atom